(1)
Computed, not measured: a relaxed Er4Al16Pt3 crystal at the GGA-PBE level of DFT.

Lattice parameters (Å, degrees): 6.1635 6.1635 11.1417 90.00 90.00 90.00
Last column: nearest neighbours and their distance in Å.
Fractional coordinates of all 23 atoms:
Er (0.0000, 0.5000, 0.1895)  12 Al 3.01-3.11
Er (0.0000, 0.5000, 0.8105)  12 Al 3.01-3.11
Er (0.5000, 0.0000, 0.1895)  12 Al 3.01-3.11
Er (0.5000, 0.0000, 0.8105)  12 Al 3.01-3.11
Al (0.0000, 0.0000, 0.1977)  8 Al 2.88-2.92, 4 Er 3.08
Al (0.0000, 0.0000, 0.8023)  8 Al 2.88-2.92, 4 Er 3.08
Al (0.2130, 0.2130, 0.0000)  1 Pt 2.50, 2 Al 2.63
Al (0.2130, 0.7870, 0.0000)  1 Pt 2.50, 2 Al 2.63
Al (0.2453, 0.2453, 0.3758)  2 Pt 2.58, 2 Al 2.77
Al (0.2453, 0.2453, 0.6242)  2 Pt 2.58, 2 Al 2.77
Al (0.2453, 0.7547, 0.3758)  2 Pt 2.58, 2 Al 2.77
Al (0.2453, 0.7547, 0.6242)  2 Pt 2.58, 2 Al 2.77
Al (0.5000, 0.5000, 0.2269)  1 Pt 2.53, 4 Al 2.77
Al (0.5000, 0.5000, 0.7731)  1 Pt 2.53, 4 Al 2.77
Al (0.7547, 0.2453, 0.3758)  2 Pt 2.58, 2 Al 2.77
Al (0.7547, 0.2453, 0.6242)  2 Pt 2.58, 2 Al 2.77
Al (0.7547, 0.7547, 0.3758)  2 Pt 2.58, 2 Al 2.77
Al (0.7547, 0.7547, 0.6242)  2 Pt 2.58, 2 Al 2.77
Al (0.7870, 0.2130, 0.0000)  1 Pt 2.50, 2 Al 2.63
Al (0.7870, 0.7870, 0.0000)  1 Pt 2.50, 2 Al 2.63
Pt (0.0000, 0.5000, 0.5000)  8 Al 2.58
Pt (0.5000, 0.0000, 0.5000)  8 Al 2.58
Pt (0.5000, 0.5000, 0.0000)  6 Al 2.50-2.53

Computed properties:
The raw total energy is -111.2 eV per cell. The energy relative to the elements comes out at -62.5 kJ per mole of atoms. As for the density of states at the Fermi level: 0.194 states/eV/atom. Its space group is P4/mmm, No. 123.



(2)
Computed, not measured: a relaxed RbCoPCl2 crystal at the GGA-PBE level of DFT.

Lattice parameters (Å, degrees): 5.1969 5.1969 4.2112 90.00 90.00 90.00
Last column: nearest neighbours and their distance in Å.
Fractional coordinates of all 5 atoms:
Rb (0.0000, 0.0000, 0.0000)  8 Cl 3.34, 4 P 3.67
Co (0.5000, 0.5000, 0.5000)  2 P 2.11
P (0.5000, 0.5000, 0.0000)  2 Co 2.11
Cl (0.0000, 0.5000, 0.5000)  2 Co 2.60
Cl (0.5000, 0.0000, 0.5000)  2 Co 2.60

Computed properties:
The raw total energy is -19.8 eV per cell. As for the formation energy from raw total energies: -522 meV/atom. As for the density of states at the Fermi level: 0.384 states/eV/atom. Its space group is P4/mmm, No. 123. The energy above the most stable polymorph in this dataset comes out at 0 meV per atom.



(3)
Computed, not measured: a relaxed HfBi2Au crystal at the GGA-PBE level of DFT.

Lattice parameters (Å, degrees): 8.1419 8.1419 6.4092 90.00 90.00 90.00
Last column: nearest neighbours and their distance in Å.
Fractional coordinates of all 16 atoms:
Hf (0.0000, 0.0000, 0.0000)  4 Bi 3.06, 2 Au 3.20
Hf (0.0000, 0.5000, 0.2500)  4 Bi 3.06, 2 Au 3.20
Hf (0.5000, 0.0000, 0.7500)  4 Bi 3.06, 2 Au 3.20
Hf (0.5000, 0.5000, 0.5000)  4 Bi 3.06, 2 Au 3.20
Bi (0.2365, 0.2500, 0.6250)  2 Au 2.91, 2 Hf 3.06, 2 Bi 3.21
Bi (0.2500, 0.7365, 0.8750)  2 Au 2.91, 2 Hf 3.06, 2 Bi 3.21
Bi (0.2500, 0.7635, 0.3750)  2 Au 2.91, 2 Hf 3.06, 2 Bi 3.21
Bi (0.2635, 0.2500, 0.1250)  2 Au 2.91, 2 Hf 3.06, 2 Bi 3.21
Bi (0.7365, 0.7500, 0.1250)  2 Au 2.91, 2 Hf 3.06, 2 Bi 3.21
Bi (0.7500, 0.2365, 0.3750)  2 Au 2.91, 2 Hf 3.06, 2 Bi 3.21
Bi (0.7500, 0.2635, 0.8750)  2 Au 2.91, 2 Hf 3.06, 2 Bi 3.21
Bi (0.7635, 0.7500, 0.6250)  2 Au 2.91, 2 Hf 3.06, 2 Bi 3.21
Au (0.0000, 0.0000, 0.5000)  4 Bi 2.91, 2 Hf 3.20
Au (0.0000, 0.5000, 0.7500)  4 Bi 2.91, 2 Hf 3.20
Au (0.5000, 0.0000, 0.2500)  4 Bi 2.91, 2 Hf 3.20
Au (0.5000, 0.5000, 0.0000)  4 Bi 2.91, 2 Hf 3.20

Computed properties:
The raw total energy is -80.2 eV per cell. The energy relative to the elements comes out at 22.7 kJ per mole of atoms. As for the density of states at the Fermi level: 0.992 states/eV/atom. Its space group is I-42d, No. 122.



(4)
Computed, not measured: a relaxed Sc2Ag3Sn3 crystal at the GGA-PBE level of DFT.

Lattice parameters (Å, degrees): 4.4022 4.5987 8.3218 90.00 90.00 90.00
Last column: nearest neighbours and their distance in Å.
Fractional coordinates of all 8 atoms:
Sc (0.0000, 0.0000, 0.2477)  6 Sn 3.02-3.09, 6 Ag 3.11-3.19
Sc (0.0000, 0.0000, 0.7523)  6 Sn 3.02-3.09, 6 Ag 3.11-3.19
Ag (0.0000, 0.5000, 0.5000)  4 Ag 2.96, 4 Sc 3.11, 4 Sn 3.18
Ag (0.5000, 0.5000, 0.2621)  2 Ag 2.96, 6 Sn 3.03-3.17, 4 Sc 3.19
Ag (0.5000, 0.5000, 0.7379)  2 Ag 2.96, 6 Sn 3.03-3.17, 4 Sc 3.19
Sn (0.0000, 0.5000, 0.0000)  4 Sc 3.09, 4 Ag 3.10, 4 Sn 3.18
Sn (0.5000, 0.0000, 0.0000)  4 Sc 3.02, 4 Ag 3.17, 4 Sn 3.18
Sn (0.5000, 0.0000, 0.5000)  8 Ag 3.03-3.18, 4 Sc 3.04

Computed properties:
The raw total energy is -35.9 eV per cell. The energy relative to the elements comes out at -32.0 kJ per mole of atoms. As for the density of states at the Fermi level: 0.355 states/eV/atom. Its space group is Pmmm, No. 47.



(5)
Computed, not measured: a relaxed RbSbSeO crystal at the GGA-PBE level of DFT.

Lattice parameters (Å, degrees): 7.5580 3.7174 7.5491 90.00 107.34 90.00
Last column: nearest neighbours and their distance in Å.
Fractional coordinates of all 8 atoms:
Rb (0.0000, 0.0000, 0.0000)  3 O 2.98-3.04
Rb (0.5000, 0.5000, 0.0000)  3 O 2.98-3.04
Sb (0.1010, 0.5000, 0.5881)  2 O 2.23
Sb (0.6010, 0.0000, 0.5881)  2 O 2.23
Se (0.2994, 0.5000, 0.3497)  1 Sb 2.66
Se (0.7994, 0.0000, 0.3497)  1 Sb 2.66
O (0.2250, 0.0000, 0.7367)  2 Sb 2.23
O (0.7250, 0.5000, 0.7367)  2 Sb 2.23

Computed properties:
The raw total energy is -34.2 eV per cell. As for the formation energy from raw total energies: -889 meV/atom. As for the density of states at the Fermi level: 0.011 states/eV/atom. Its space group is Cm, No. 8.



(6)
Computed, not measured: a relaxed YHo3Sc7 crystal at the GGA-PBE level of DFT.

Lattice parameters (Å, degrees): 7.9590 7.9590 7.9590 140.09 98.25 95.13
Last column: nearest neighbours and their distance in Å.
Fractional coordinates of all 11 atoms:
Y (0.0000, 0.0000, 0.0000)  2 Sc 2.72
Ho (0.2891, 0.5000, 0.7891)  5 Sc 3.01-3.21
Ho (0.5000, 0.0000, 0.5000)  4 Sc 3.06
Ho (0.7109, 0.5000, 0.2109)  5 Sc 3.01-3.21
Sc (0.0000, 0.5000, 0.5000)  2 Y 2.72, 2 Ho 3.01
Sc (0.0927, 0.7831, 0.3096)  2 Ho 3.06-3.21, 5 Sc 3.07-3.37
Sc (0.2931, 0.2931, 0.0000)  2 Ho 3.13, 1 Y 3.15, 6 Sc 3.33-3.37
Sc (0.4735, 0.7831, 0.6904)  2 Ho 3.06-3.21, 5 Sc 3.07-3.37
Sc (0.5265, 0.2169, 0.3096)  2 Ho 3.06-3.21, 5 Sc 3.07-3.37
Sc (0.7069, 0.7069, 0.0000)  2 Ho 3.13, 1 Y 3.15, 6 Sc 3.33-3.37
Sc (0.9073, 0.2169, 0.6904)  2 Ho 3.06-3.21, 5 Sc 3.07-3.37

Computed properties:
The raw total energy is -61.3 eV per cell. The energy relative to the elements comes out at 28.4 kJ per mole of atoms. As for the density of states at the Fermi level: 1.507 states/eV/atom. Its space group is Immm, No. 71.



(7)
Computed, not measured: a relaxed Cs2SiSb crystal at the GGA-PBE level of DFT.

Lattice parameters (Å, degrees): 11.0369 9.8617 7.8697 90.00 98.72 90.00
Last column: nearest neighbours and their distance in Å.
Fractional coordinates of all 16 atoms:
Cs (0.2406, 0.0954, 0.2057)  1 Si 3.60, 2 Sb 3.62-3.98
Cs (0.2406, 0.4046, 0.7057)  1 Si 3.60, 2 Sb 3.62-3.98
Cs (0.2499, 0.6211, 0.1505)  2 Si 3.45-3.69, 1 Sb 3.75
Cs (0.2499, 0.8789, 0.6505)  2 Si 3.45-3.69, 1 Sb 3.75
Cs (0.7501, 0.1211, 0.3495)  2 Si 3.45-3.69, 1 Sb 3.75
Cs (0.7501, 0.3789, 0.8495)  2 Si 3.45-3.69, 1 Sb 3.75
Cs (0.7594, 0.5954, 0.2943)  1 Si 3.60, 2 Sb 3.62-3.98
Cs (0.7594, 0.9046, 0.7943)  1 Si 3.60, 2 Sb 3.62-3.98
Si (0.4565, 0.6146, 0.5259)  1 Si 2.51, 2 Sb 2.70-2.71
Si (0.4565, 0.8854, 0.0259)  1 Si 2.51, 2 Sb 2.70-2.71
Si (0.5435, 0.1146, 0.9741)  1 Si 2.51, 2 Sb 2.70-2.71
Si (0.5435, 0.3854, 0.4741)  1 Si 2.51, 2 Sb 2.70-2.71
Sb (0.4748, 0.1626, 0.6343)  2 Si 2.70-2.71
Sb (0.4748, 0.3374, 0.1343)  2 Si 2.70-2.71
Sb (0.5252, 0.6626, 0.8657)  2 Si 2.70-2.71
Sb (0.5252, 0.8374, 0.3657)  2 Si 2.70-2.71

Computed properties:
The raw total energy is -46.3 eV per cell. As for the formation energy from raw total energies: -83 meV/atom. As for the density of states at the Fermi level: 0.383 states/eV/atom. Its space group is P2_1/c, No. 14. The energy above the most stable polymorph in this dataset comes out at 0 meV per atom.



(8)
Computed, not measured: a relaxed CaTe2Pt crystal at the GGA-PBE level of DFT.

Lattice parameters (Å, degrees): 7.3072 7.3072 7.3072 90.00 90.00 90.00
Last column: nearest neighbours and their distance in Å.
Fractional coordinates of all 16 atoms:
Ca (0.0000, 0.0000, 0.0000)  8 Te 3.16
Ca (0.0000, 0.5000, 0.5000)  8 Te 3.16
Ca (0.5000, 0.0000, 0.5000)  8 Te 3.16
Ca (0.5000, 0.5000, 0.0000)  8 Te 3.16
Te (0.2500, 0.2500, 0.2500)  4 Ca 3.16, 4 Pt 3.16
Te (0.2500, 0.2500, 0.7500)  4 Ca 3.16, 4 Pt 3.16
Te (0.2500, 0.7500, 0.2500)  4 Ca 3.16, 4 Pt 3.16
Te (0.2500, 0.7500, 0.7500)  4 Ca 3.16, 4 Pt 3.16
Te (0.7500, 0.2500, 0.2500)  4 Ca 3.16, 4 Pt 3.16
Te (0.7500, 0.2500, 0.7500)  4 Ca 3.16, 4 Pt 3.16
Te (0.7500, 0.7500, 0.2500)  4 Ca 3.16, 4 Pt 3.16
Te (0.7500, 0.7500, 0.7500)  4 Ca 3.16, 4 Pt 3.16
Pt (0.0000, 0.0000, 0.5000)  8 Te 3.16
Pt (0.0000, 0.5000, 0.0000)  8 Te 3.16
Pt (0.5000, 0.0000, 0.0000)  8 Te 3.16
Pt (0.5000, 0.5000, 0.5000)  8 Te 3.16

Computed properties:
The raw total energy is -62.4 eV per cell. As for the formation energy from raw total energies: -320 meV/atom. As for the density of states at the Fermi level: 1.501 states/eV/atom. Its space group is Fm-3m, No. 225. The energy above the most stable polymorph in this dataset comes out at 539 meV per atom.



(9)
Computed, not measured: a relaxed Mg4TiOs2 crystal at the GGA-PBE level of DFT.

Lattice parameters (Å, degrees): 4.9731 4.9731 13.4637 90.00 90.00 90.00
Last column: nearest neighbours and their distance in Å.
Fractional coordinates of all 14 atoms:
Mg (0.0000, 0.0000, 0.2091)  1 Os 2.76, 1 Ti 2.81
Mg (0.0000, 0.0000, 0.7909)  1 Os 2.76, 1 Ti 2.81
Mg (0.0000, 0.5000, 0.0000)  2 Ti 2.49, 4 Os 2.74
Mg (0.0000, 0.5000, 0.5000)  2 Ti 2.49, 4 Os 2.74
Mg (0.5000, 0.0000, 0.0000)  2 Ti 2.49, 4 Os 2.74
Mg (0.5000, 0.0000, 0.5000)  2 Ti 2.49, 4 Os 2.74
Mg (0.5000, 0.5000, 0.2909)  1 Os 2.76, 1 Ti 2.81
Mg (0.5000, 0.5000, 0.7091)  1 Os 2.76, 1 Ti 2.81
Ti (0.0000, 0.0000, 0.0000)  4 Mg 2.49
Ti (0.5000, 0.5000, 0.5000)  4 Mg 2.49
Os (0.0000, 0.0000, 0.4142)  1 Os 2.31
Os (0.0000, 0.0000, 0.5858)  1 Os 2.31
Os (0.5000, 0.5000, 0.0858)  1 Os 2.31
Os (0.5000, 0.5000, 0.9142)  1 Os 2.31

Computed properties:
The raw total energy is -56.4 eV per cell. The energy relative to the elements comes out at 117.8 kJ per mole of atoms. As for the density of states at the Fermi level: 0.998 states/eV/atom. Its space group is I4/mmm, No. 139.



(10)
Computed, not measured: a relaxed Tb4TePd crystal at the GGA-PBE level of DFT.

Lattice parameters (Å, degrees): 8.3981 3.9375 19.7142 90.00 90.00 90.00
Last column: nearest neighbours and their distance in Å.
Fractional coordinates of all 24 atoms:
Tb (0.0169, 0.2500, 0.0697)  2 Pd 2.93, 1 Te 3.23
Tb (0.0429, 0.7500, 0.2182)  4 Te 3.22-3.25, 6 Tb 3.53-3.58
Tb (0.1341, 0.7500, 0.6540)  2 Pd 2.94, 1 Te 3.25
Tb (0.1458, 0.7500, 0.4465)  3 Pd 2.93-3.14
Tb (0.3542, 0.2500, 0.9465)  3 Pd 2.93-3.14
Tb (0.3659, 0.2500, 0.1540)  2 Pd 2.94, 1 Te 3.25
Tb (0.4571, 0.2500, 0.7182)  4 Te 3.22-3.25, 6 Tb 3.53-3.58
Tb (0.4831, 0.7500, 0.5697)  2 Pd 2.93, 1 Te 3.23
Tb (0.5169, 0.2500, 0.4303)  2 Pd 2.93, 1 Te 3.23
Tb (0.5429, 0.7500, 0.2818)  4 Te 3.22-3.25, 6 Tb 3.53-3.58
Tb (0.6341, 0.7500, 0.8460)  2 Pd 2.94, 1 Te 3.25
Tb (0.6458, 0.7500, 0.0535)  3 Pd 2.93-3.14
Tb (0.8542, 0.2500, 0.5535)  3 Pd 2.93-3.14
Tb (0.8659, 0.2500, 0.3460)  2 Pd 2.94, 1 Te 3.25
Tb (0.9571, 0.2500, 0.7818)  4 Te 3.22-3.25, 6 Tb 3.53-3.58
Tb (0.9831, 0.7500, 0.9303)  2 Pd 2.93, 1 Te 3.23
Te (0.2454, 0.2500, 0.3144)  9 Tb 3.22-3.37
Te (0.2546, 0.7500, 0.8144)  9 Tb 3.22-3.37
Te (0.7454, 0.2500, 0.1856)  9 Tb 3.22-3.37
Te (0.7546, 0.7500, 0.6856)  9 Tb 3.22-3.37
Pd (0.2279, 0.2500, 0.5510)  7 Tb 2.93-3.14
Pd (0.2721, 0.7500, 0.0510)  7 Tb 2.93-3.14
Pd (0.7279, 0.2500, 0.9490)  7 Tb 2.93-3.14
Pd (0.7721, 0.7500, 0.4490)  7 Tb 2.93-3.14

Computed properties:
The raw total energy is -125.3 eV per cell. As for the formation energy from raw total energies: -747 meV/atom. As for the density of states at the Fermi level: 1.028 states/eV/atom. Its space group is Pnma, No. 62. The energy above the most stable polymorph in this dataset comes out at 0 meV per atom.